## KCuRe2 (meta-GGA SCAN)

Data for KCuRe2 at its PBEsol-relaxed geometry.

Calculated values
E_form = 2.359 eV/atom
Relative energy among the computed polymorphs = 1619.4 meV/atom
ρ = 12.95 g/cm³
Total energy = -39.07 eV per atom

Lattice parameters (Å, degrees): 6.2452 6.2452 6.2452 90.00 90.00 90.00
Element x y z (fractional)
K 0.0000 0.0000 0.0000
K 0.0000 0.5000 0.5000
K 0.5000 0.0000 0.5000
K 0.5000 0.5000 0.0000
Cu 0.0000 0.0000 0.5000
Cu 0.0000 0.5000 0.0000
Cu 0.5000 0.0000 0.0000
Cu 0.5000 0.5000 0.5000
Re 0.2500 0.2500 0.2500
Re 0.2500 0.2500 0.7500
Re 0.2500 0.7500 0.2500
Re 0.2500 0.7500 0.7500
Re 0.7500 0.2500 0.2500
Re 0.7500 0.2500 0.7500
Re 0.7500 0.7500 0.2500
Re 0.7500 0.7500 0.7500



## KCuRe2 (meta-GGA SCAN)

Data for KCuRe2 at its PBEsol-relaxed geometry.

Calculated values
E_form = 0.810 eV/atom
Relative energy among the computed polymorphs = 71.1 meV/atom
ρ = 11.81 g/cm³
Total energy = -40.62 eV per atom

Lattice parameters (Å, degrees): 2.5773 4.7135 10.9939 90.00 90.00 90.00
Element x y z (fractional)
K 0.0000 0.0000 0.0000
K 0.5000 0.5000 0.5000
Cu 0.0000 0.0000 0.5000
Cu 0.5000 0.5000 0.0000
Re 0.0000 0.5000 0.2134
Re 0.0000 0.5000 0.7866
Re 0.5000 0.0000 0.2866
Re 0.5000 0.0000 0.7134



The highest E_form belongs to which entry? number 1



Among the records above, which one has the highest total energy? number 1



Which of these has the lowest ρ? number 2